A plane-wave DFT calculation with SCAN was carried out for YInCo2 at its PBEsol-relaxed geometry.

Cell: 3.2241 3.2241 6.1805 Å, 90.00 90.00 90.00°
Atoms (fractional coordinates):
Y (0.5000, 0.5000, 0.5000)
Co (0.0000, 0.0000, 0.2263)
Co (0.0000, 0.0000, 0.7737)
In (0.5000, 0.5000, 0.0000)

Values from the calculation:
Space group: P4/mmm
Energy of formation from the pure elements (eV per atom): 0.044
Magnetization (Bohr magnetons per cell): 1.66
N(E_F) (states/eV/cell): 2.826
Calculated volume (Å³ per atom): 16.06
Electronic total energy (eV per atom): -23.9152